[1]
Ta3GeB4 PBE relaxed; space-group type = Pmmm
1.0
-0.272 -3.069 0.309
0.961 0.230 3.130
-8.329 0.989 2.486
B Ge Ta
4 1 3
Direct
0.000 0.500 0.294
0.500 0.500 0.393
0.500 0.500 0.607
0.000 0.500 0.706
0.000 0.500 0.000
0.500 0.000 0.192
0.000 0.000 0.500
0.500 0.000 0.808

[2]
NaTlGePt PBE relaxed; space-group type = F-43m; relative energy among the computed polymorphs = 0.00 eV per formula unit
1.0
2.548 -3.309 -2.352
-2.218 -3.723 -2.050
-0.278 -0.291 -4.777
Ge Na Pt Tl
1 1 1 1
Direct
0.500 0.500 0.500
0.750 0.750 0.750
0.250 0.250 0.250
0.000 0.000 0.000

[3]
BPt2O4 PBE relaxed; space-group type = Fd-3m
1.0
-4.745 -3.090 -1.383
1.681 4.431 -3.394
3.150 -4.902 0.163
B O Pt
2 8 4
Direct
0.000 0.000 0.000
0.750 0.500 0.250
0.105 0.209 0.314
0.645 0.709 0.355
0.645 0.291 0.355
0.064 0.709 0.355
0.105 0.209 0.895
0.686 0.791 0.895
0.105 0.791 0.895
0.645 0.291 0.936
0.375 0.750 0.125
0.375 0.250 0.625
0.375 0.750 0.625
0.875 0.250 0.625

[4]
AsAuSe2 PBE relaxed; space-group type = Cc
1.0
6.438 -2.766 0.000
6.438 2.766 0.000
-2.300 0.000 5.014
As Au Se
2 2 4
Direct
0.996 0.463 0.216
0.463 0.996 0.716
0.722 0.231 0.464
0.231 0.722 0.964
0.780 0.268 0.013
0.483 0.020 0.241
0.268 0.780 0.513
0.020 0.483 0.741

[5]
YPdNO PBE relaxed; space-group type = Pca2_1; relative energy among the computed polymorphs = 0.00 eV per formula unit
1.0
-3.356 1.787 -4.026
-0.242 -7.061 -2.933
-4.337 -1.143 3.108
N O Pd Y
4 4 4 4
Direct
0.354 0.348 0.192
0.854 0.652 0.192
0.146 0.348 0.692
0.646 0.652 0.692
0.751 0.033 0.124
0.251 0.967 0.124
0.749 0.033 0.624
0.249 0.967 0.624
0.059 0.467 0.009
0.559 0.533 0.009
0.441 0.467 0.509
0.941 0.533 0.509
0.036 0.140 0.378
0.536 0.860 0.378
0.464 0.140 0.878
0.964 0.860 0.878

[6]
GaCo PBE relaxed; space-group type = F-43m
1.0
2.078 -2.954 -1.003
-1.425 -3.459 0.232
-0.827 -1.899 -3.124
Co Ga
1 1
Direct
0.000 0.000 0.000
0.250 0.250 0.250

[7]
CsAlRe PBE relaxed; space-group type = F-43m; relative energy among the computed polymorphs = 2.51 eV per formula unit
1.0
0.000 3.789 3.789
3.789 0.000 3.789
3.789 3.789 0.000
Al Cs Re
1 1 1
Direct
0.250 0.250 0.250
0.000 0.000 0.000
0.750 0.750 0.750

[8]
TbDyCuSe3 PBE relaxed; space-group type = Cmcm
1.0
4.891 2.808 -3.955
-6.486 0.339 2.293
3.185 5.914 8.137
Cu Dy Se Tb
2 2 6 2
Direct
0.025 0.975 0.250
0.975 0.025 0.750
0.729 0.271 0.250
0.271 0.729 0.750
0.148 0.852 0.075
0.403 0.597 0.250
0.148 0.852 0.425
0.852 0.148 0.575
0.597 0.403 0.750
0.852 0.148 0.925
0.500 0.500 0.000
0.500 0.500 0.500

For reference, VASP energy by record: -8.83, -3.66, -5.90, -3.70, -7.67, -4.25, -3.01, -5.28 eV/atom.